Entry 1:
First-principles (GGA-PBE) data for HfAs2CSe after structural relaxation, as listed in Alexandria.

Cell and atoms, written as POSCAR:
```
HfAs2CSe
1.0
-0.652 -5.137 -0.117
0.737 -0.211 5.122
-4.982 0.616 0.742
Hf As Se C
1 2 1 1
direct
0.000 0.000 0.000 Hf
0.500 0.000 0.000 As
0.000 0.500 0.000 As
0.000 0.000 0.500 Se
0.500 0.500 0.500 C
```

## Properties
space group	P4/mmm (123)
uncorrected formation energy	1.42	eV/atom
excess energy over the best structure of this formula in the dataset	0.7497	eV per atom

***

Entry 2:
First-principles (GGA-PBE) data for Pm3NiOs after structural relaxation, as listed in Alexandria.

Cell and atoms, written as POSCAR:
```
Pm3NiOs
1.0
-5.387 6.046 1.850
-5.802 -4.929 -0.786
1.364 -1.065 7.455
Pm Os Ni
12 4 4
direct
0.574 0.469 0.694 Pm
0.926 0.969 0.194 Pm
0.574 0.806 0.031 Pm
0.426 0.194 0.969 Pm
0.336 0.081 0.419 Pm
0.836 0.419 0.081 Pm
0.664 0.919 0.581 Pm
0.926 0.306 0.531 Pm
0.074 0.031 0.806 Pm
0.074 0.694 0.469 Pm
0.164 0.581 0.919 Pm
0.426 0.531 0.306 Pm
0.143 0.291 0.209 Os
0.857 0.709 0.791 Os
0.643 0.209 0.291 Os
0.357 0.791 0.709 Os
0.750 0.084 0.916 Ni
0.750 0.584 0.416 Ni
0.250 0.416 0.584 Ni
0.250 0.916 0.084 Ni
```

## Properties
space group	Cmce (64)
energy of formation from the pure elements	-0.0939	eV per atom

***

no.,total magnetization (μB per formula unit)
1,1.4
2,0.0